Entry 1:
This record from the Alexandria database describes LiAg2Au at its PBEsol-relaxed geometry. The functional is SCAN.

Results
crystal system = monoclinic

abc: 2.790 4.921 5.474
angles: 115.79 103.26 93.26
Positions (direct):
Au (0.500, 0.000, 0.000)
Ag (0.000, 0.000, 0.500)
Ag (0.500, 0.500, 0.500)
Li (0.000, 0.500, 0.000)

Entry 2:
This record from the Alexandria database describes LiAg2Au at its PBEsol-relaxed geometry. The functional is SCAN.

Results
crystal system = orthorhombic

abc: 2.807 4.106 5.592
angles: 90.00 90.00 90.00
Positions (direct):
Li (0.500, 0.500, 0.500)
Ag (0.000, 0.000, 0.745)
Ag (0.000, 0.000, 0.255)
Au (0.500, 0.500, 0.000)

Entry 3:
This record from the Alexandria database describes Li3AgAu at its PBEsol-relaxed geometry. The functional is SCAN.

Results
crystal system = cubic

abc: 4.726 4.726 4.726
angles: 90.00 90.00 90.00
Positions (direct):
Li (0.500, 0.000, 0.000)
Li (0.000, 0.000, 0.500)
Li (0.000, 0.500, 0.000)
Ag (0.500, 0.500, 0.500)
Au (0.000, 0.000, 0.000)

Number 1: ΔH_f (0 K) -0.21 eV per atom, D(E_F) 0.286 states/eV/atom. Number 2: ΔH_f (0 K) -0.22 eV per atom, D(E_F) 0.253 states/eV/atom. Number 3: ΔH_f (0 K) -0.05 eV per atom, D(E_F) 0.436 states/eV/atom.